# 1
The following is a PBE calculation of an optimized crystal structure of Tl3Br, from Alexandria via LeMat-Bulk.

```
4
Lattice="5.0722 0.0000 0.0000 0.0000 5.0722 0.0000 0.0000 0.0000 5.0722" Properties=species:S:1:pos:R:3 pbc="T T T"
Tl 0.0000 0.0000 2.5361
Tl 0.0000 2.5361 0.0000
Tl 2.5361 0.0000 0.0000
Br 2.5361 2.5361 2.5361
```

DOS at the Fermi energy	0.397	states/eV per atom
offset from the most stable computed form	13	kJ/mol of formula units
formation energy without anion corrections	-0.267	eV per atom
SG	Pm-3m

# 2
The following is a PBE calculation of an optimized crystal structure of Ho8ZnGa3Te4, from Alexandria via LeMat-Bulk.

```
16
Lattice="4.0753 2.3529 7.5420 -4.0753 2.3529 7.5420 0.0000 -4.7058 7.5420" Properties=species:S:1:pos:R:3 pbc="T T T"
Ho 0.0000 0.0000 5.5320
Ho -2.0448 -1.1806 13.0908
Ho 0.0000 -2.3611 9.5353
Ho -2.0448 1.1806 9.5353
Ho 2.0448 -1.1806 13.0908
Ho 0.0000 2.3611 13.0908
Ho 2.0448 1.1806 9.5353
Ho 0.0000 0.0000 17.0941
Zn 0.0000 0.0000 11.3130
Ga -4.0753 0.0000 11.3130
Ga -2.0377 1.1764 3.7710
Ga 2.0377 1.1764 3.7710
Te 0.0000 0.0000 0.0000
Te -2.0377 -1.1764 7.5420
Te -2.0377 1.1764 15.0840
Te 0.0000 2.3529 7.5420
```

DOS at the Fermi energy	0.481	states/eV per atom
formation energy without anion corrections	-0.875	eV per atom
SG	R-3m

# 3
The following is a PBE calculation of an optimized crystal structure of Zr6BiC4, from Alexandria via LeMat-Bulk.

```
22
Lattice="1.7352 -5.6736 0.0000 1.7352 5.6736 0.0000 0.0000 0.0000 18.1000" Properties=species:S:1:pos:R:3 pbc="T T T"
Zr 0.0000 0.0000 0.0000
Zr 0.0000 0.0000 9.0500
Zr 1.7352 4.1964 13.5750
Zr 1.7352 2.5564 1.3622
Zr 1.7352 2.5564 7.6878
Zr 1.7352 0.3878 11.6466
Zr 1.7352 0.3878 15.5035
Zr 1.7352 -0.3878 2.5965
Zr 1.7352 -0.3878 6.4535
Zr 1.7352 -2.5564 10.4122
Zr 1.7352 -2.5564 16.7378
Zr 1.7352 -4.1964 4.5250
Bi 1.7352 3.8123 4.5250
Bi 1.7352 -3.8123 13.5750
C 1.7352 4.6471 11.2333
C 1.7352 4.6471 15.9168
C 1.7352 1.5840 9.7446
C 1.7352 1.5840 17.4054
C 1.7352 -1.5840 0.6946
C 1.7352 -1.5840 8.3554
C 1.7352 -4.6471 2.1833
C 1.7352 -4.6471 6.8667
```

DOS at the Fermi energy	0.247	states/eV per atom
SG	Cmcm
calculated formation energy	-0.69	eV/atom

# 4
The following is a PBE calculation of an optimized crystal structure of LuPdRh, from Alexandria via LeMat-Bulk.

```
3
Lattice="4.3807 0.0000 0.0000 -2.1904 3.7938 0.0000 0.0000 0.0000 3.4173" Properties=species:S:1:pos:R:3 pbc="T T T"
Lu 0.0000 0.0000 0.0000
Pd 0.0000 2.5292 1.7087
Rh 2.1904 1.2646 1.7087
```

DOS at the Fermi energy	0.525	states/eV per atom
offset from the most stable computed form	5	kJ/mol of formula units
SG	P-6m2
calculated formation energy	-0.63	eV/atom

# 5
The following is a PBE calculation of an optimized crystal structure of La2NdY, from Alexandria via LeMat-Bulk.

```
4
Lattice="3.7116 0.0000 0.0000 0.0000 3.7116 0.0000 0.0000 0.0000 10.2687" Properties=species:S:1:pos:R:3 pbc="T T T"
La 0.0000 0.0000 2.5401
La 0.0000 0.0000 7.7286
Nd 1.8558 1.8558 5.1344
Y 1.8558 1.8558 0.0000
```

DOS at the Fermi energy	1.807	states/eV per atom
offset from the most stable computed form	3	kJ/mol of formula units
SG	P4/mmm
calculated formation energy	0.02	eV/atom

# 6
The following is a PBE calculation of an optimized crystal structure of PmPu2NpP4, from Alexandria via LeMat-Bulk.

```
16
Lattice="5.6739 0.0000 0.0000 0.0000 5.6739 0.0000 0.0000 0.0000 11.3614" Properties=species:S:1:pos:R:3 pbc="T T T"
Pm 0.0000 0.0000 0.0000
Pm 2.8370 2.8370 5.6807
Pu 0.0000 0.0000 5.6807
Pu 0.0000 2.8370 2.8403
Pu 2.8370 0.0000 8.5210
Pu 2.8370 2.8370 0.0000
Np 0.0000 2.8370 8.5210
Np 2.8370 0.0000 2.8403
P 0.0000 0.0000 2.9052
P 0.0000 0.0000 8.4562
P 0.0000 2.8370 5.7319
P 0.0000 2.8370 11.3102
P 2.8370 0.0000 0.0512
P 2.8370 0.0000 5.6295
P 2.8370 2.8370 2.7755
P 2.8370 2.8370 8.5859
```

DOS at the Fermi energy	3.735	states/eV per atom
SG	I-4m2
calculated formation energy	-1.14	eV/atom